A geometry-optimized Sr2Tl3SbS6 structure, computed with PBE-GGA.

Output
total magnetic moment = 0.0 μB per cell
symmetry = C2/m
electronic total energy = -4.147 eV per atom
crystal system = monoclinic
calculated volume = 28.1 Å³ per atom

Cell: 7.2837 7.2837 7.6686 Å, 98.96 98.96 119.34°
Fractional positions:
1 Sr 0.1655 0.8345 0.0000
2 Sr 0.8345 0.1655 0.0000
3 Tl 0.0000 0.0000 0.5000
4 Tl 0.3299 0.6701 0.5000
5 Tl 0.6701 0.3299 0.5000
6 Sb 0.5000 0.5000 0.0000
7 S 0.1459 0.4330 0.8018
8 S 0.2821 0.2821 0.2168
9 S 0.4330 0.1459 0.8018
10 S 0.5670 0.8541 0.1982
11 S 0.7179 0.7179 0.7832
12 S 0.8541 0.5670 0.1982


A geometry-optimized Sr2TlSbS4 structure, computed with PBE-GGA.

Output
total magnetic moment = 0.0 μB per cell
symmetry = Imma
electronic total energy = -4.397 eV per atom
crystal system = orthorhombic
calculated volume = 27.2 Å³ per atom

Cell: 8.5015 8.5015 8.5015 Å, 120.02 119.54 90.38°
Fractional positions:
1 Sr 0.0000 0.0000 0.0000
2 Sr 0.5000 0.0000 0.0000
3 Sr 0.5000 0.0000 0.5000
4 Sr 0.5000 0.5000 0.5000
5 Tl 0.0000 0.0000 0.5000
6 Tl 0.0000 0.5000 0.0000
7 Sb 0.0000 0.5000 0.5000
8 Sb 0.5000 0.5000 0.0000
9 S 0.2499 0.7348 0.5151
10 S 0.2567 0.2716 0.5149
11 S 0.2567 0.7418 0.9851
12 S 0.2803 0.2652 0.0151
13 S 0.7197 0.7348 0.9849
14 S 0.7433 0.2582 0.0149
15 S 0.7433 0.7284 0.4851
16 S 0.7501 0.2652 0.4849


no.,mass density (Mg/m³)
1,5.43
2,4.80